The following is a DFT calculation (PBE) of a relaxed structure of Sm12Tl3Au.

Unit cell a=4.927 b=4.927 c=19.460 alpha=90.00 beta=90.00 gamma=90.00
Space group P4/mmm (No. 123)
Unique sites:
Sm (0.000, 0.000, 0.000)
Sm (0.000, 0.000, 0.244)
Sm (0.000, 0.000, 0.500)
Sm (0.000, 0.500, 0.118)
Sm (0.000, 0.500, 0.372)
Tl (0.500, 0.500, 0.246)
Tl (0.500, 0.500, 0.500)
Au (0.500, 0.500, 0.000)

Values from the calculation:
As for the crystal system: tetragonal. The formation enthalpy at 0 K is -206.4 meV/atom. For the calculated volume, the calculation gives 29.53 Å³ per atom. The value obtained for the total energy is -70.31 eV/cell.